Entry 1:
# TaCoIr (PBE, optimized geometry)
data_TaCoIr
_space_group_name_H-M_alt 'I 4 m m'
_space_group_IT_number 107
_space_group_name_Hall 'I 4 -2'
_cell_length_a 2.7984
_cell_length_b 2.7984
_cell_length_c 11.0539
_cell_angle_alpha 90.00
_cell_angle_beta 90.00
_cell_angle_gamma 90.00
loop_
_atom_site_label
_atom_site_fract_x
_atom_site_fract_y
_atom_site_fract_z
Ta1 0.0000 0.0000 0.0000
Co1 0.0000 0.0000 0.6641
Ir1 0.0000 0.0000 0.3206
# Total DFT energy (no corrections) ... -56.57 eV per cell
# DOS(E_F) ... 4.143 states/eV/f.u.
# Total magnetization ... 0.89 μB per formula unit
# Calculated density ... 16.6 g/cm3


Entry 2:
# CoCuPt2 (PBE, optimized geometry)
data_CoCuPt2
_space_group_name_H-M_alt 'C 1 2/m 1'
_space_group_IT_number 12
_cell_length_a 8.7372
_cell_length_b 2.7336
_cell_length_c 4.7294
_cell_angle_alpha 90.00
_cell_angle_beta 100.40
_cell_angle_gamma 90.00
loop_
_space_group_symop_operation_xyz
'x,y,z'
'-x,-y,-z'
'-x,y,-z'
'x,-y,z'
'x+1/2,y+1/2,z'
'-x+1/2,-y+1/2,-z'
'-x+1/2,y+1/2,-z'
'x+1/2,-y+1/2,z'
loop_
_atom_site_label
_atom_site_fract_x
_atom_site_fract_y
_atom_site_fract_z
Co1 0.0000 0.0000 0.0000
Cu1 0.0000 0.5000 0.5000
Pt1 0.2484 0.5000 0.2480
# Total DFT energy (no corrections) ... -47.12 eV per cell
# DOS(E_F) ... 3.132 states/eV/f.u.
# Total magnetization ... 2.27 μB per formula unit
# Calculated density ... 15.3 g/cm3


Entry 3:
# BaNiW (PBE, optimized geometry)
data_BaNiW
_space_group_name_H-M_alt 'P 1'
_space_group_IT_number 1
_cell_length_a 4.2288
_cell_length_b 5.3582
_cell_length_c 7.6257
_cell_angle_alpha 105.50
_cell_angle_beta 90.54
_cell_angle_gamma 90.02
loop_
_space_group_symop_operation_xyz
'x,y,z'
loop_
_atom_site_label
_atom_site_fract_x
_atom_site_fract_y
_atom_site_fract_z
Ba1 0.0000 0.0000 0.0000
Ba2 0.0115 0.3592 0.6129
Ni1 0.0060 0.7474 0.3222
Ni2 0.5069 0.0424 0.3027
W1 0.5057 0.4945 0.2708
W2 0.5081 0.8185 0.5363
# Total DFT energy (no corrections) ... -36.97 eV per cell
# DOS(E_F) ... 3.951 states/eV/f.u.
# Total magnetization ... 0.00 μB per formula unit
# Calculated density ... 7.6 g/cm3


Entry 4:
# CrOsBr3 (PBE, optimized geometry)
data_CrOsBr3
_space_group_name_H-M_alt 'P m -3 m'
_space_group_IT_number 221
_space_group_name_Hall '-P 4 2 3'
_cell_length_a 5.0907
_cell_length_b 5.0907
_cell_length_c 5.0907
_cell_angle_alpha 90.00
_cell_angle_beta 90.00
_cell_angle_gamma 90.00
loop_
_atom_site_label
_atom_site_fract_x
_atom_site_fract_y
_atom_site_fract_z
Cr1 0.0000 0.0000 0.0000
Os1 0.5000 0.5000 0.5000
Br1 0.0000 0.5000 0.5000
# Formation energy without anion corrections ... 793 meV per atom
# DOS(E_F) ... 11.104 states/eV/f.u.
# Total magnetization ... 5.71 μB per formula unit
# Calculated density ... 6.1 g/cm3


Entry 5:
# NaLi2Zn2Sb2 (PBE, optimized geometry)
data_NaLi2Zn2Sb2
_space_group_name_H-M_alt 'R -3 m'
_space_group_IT_number 166
_space_group_name_Hall '-R 3 2"'
_cell_length_a 4.4970
_cell_length_b 4.4970
_cell_length_c 26.0370
_cell_angle_alpha 90.00
_cell_angle_beta 90.00
_cell_angle_gamma 120.00
loop_
_atom_site_label
_atom_site_fract_x
_atom_site_fract_y
_atom_site_fract_z
Na1 0.0000 0.0000 0.0000
Li1 0.0000 0.0000 0.1419
Zn1 0.0000 0.0000 0.4485
Sb1 0.0000 0.0000 0.2526
# Formation energy without anion corrections ... -380 meV per atom
# DOS(E_F) ... 1.471 states/eV/f.u.
# Total magnetization ... 0.00 μB per formula unit
# Calculated density ... 4.5 g/cm3


Entry 6:
# Pm2Pr12Sm5 (PBE, optimized geometry)
data_Pm2Pr12Sm5
_space_group_name_H-M_alt 'C 1 2/m 1'
_space_group_IT_number 12
_cell_length_a 18.3009
_cell_length_b 11.9229
_cell_length_c 6.3367
_cell_angle_alpha 90.00
_cell_angle_beta 102.78
_cell_angle_gamma 90.00
loop_
_space_group_symop_operation_xyz
'x,y,z'
'-x,-y,-z'
'-x,y,-z'
'x,-y,z'
'x+1/2,y+1/2,z'
'-x+1/2,-y+1/2,-z'
'-x+1/2,y+1/2,-z'
'x+1/2,-y+1/2,z'
loop_
_atom_site_label
_atom_site_fract_x
_atom_site_fract_y
_atom_site_fract_z
Pm1 0.0000 0.2274 0.0000
Pr1 0.0545 0.5000 0.2736
Pr2 0.1031 0.2522 0.6163
Pr3 0.1217 0.0000 0.9953
Pr4 0.1981 0.2576 0.2007
Sm1 0.0000 0.0000 0.5000
Sm2 0.1770 0.5000 0.8564
Sm3 0.2136 0.0000 0.5487
# Total DFT energy (no corrections) ... -177.50 eV per cell
# DOS(E_F) ... 27.125 states/eV/f.u.
# Total magnetization ... 0.00 μB per formula unit
# Calculated density ... 6.7 g/cm3


Entry 7:
# AgTe3F (PBE, optimized geometry)
data_AgTe3F
_space_group_name_H-M_alt 'P m -3 m'
_space_group_IT_number 221
_space_group_name_Hall '-P 4 2 3'
_cell_length_a 4.9840
_cell_length_b 4.9840
_cell_length_c 4.9840
_cell_angle_alpha 90.00
_cell_angle_beta 90.00
_cell_angle_gamma 90.00
loop_
_atom_site_label
_atom_site_fract_x
_atom_site_fract_y
_atom_site_fract_z
Ag1 0.0000 0.0000 0.0000
Te1 0.0000 0.5000 0.5000
F1 0.5000 0.5000 0.5000
# Formation energy without anion corrections ... 149 meV per atom
# DOS(E_F) ... 3.046 states/eV/f.u.
# Total magnetization ... 0.00 μB per formula unit
# Calculated density ... 6.8 g/cm3


Entry 8:
# NdI2 (PBE, optimized geometry)
data_NdI2
_space_group_name_H-M_alt 'C 2 2 21'
_space_group_IT_number 20
_cell_length_a 4.2284
_cell_length_b 7.3211
_cell_length_c 33.5371
_cell_angle_alpha 90.00
_cell_angle_beta 90.00
_cell_angle_gamma 90.00
loop_
_space_group_symop_operation_xyz
'x,y,z'
'-x,-y,z+1/2'
'x,-y,-z'
'-x,y,-z+1/2'
'x+1/2,y+1/2,z'
'-x+1/2,-y+1/2,z+1/2'
'x+1/2,-y+1/2,-z'
'-x+1/2,y+1/2,-z+1/2'
loop_
_atom_site_label
_atom_site_fract_x
_atom_site_fract_y
_atom_site_fract_z
Nd1 0.2439 0.0007 0.1236
I1 0.2444 0.3326 0.8143
I2 0.2436 0.3327 0.9384
# Formation energy without anion corrections ... -1325 meV per atom
# DOS(E_F) ... 0.296 states/eV/f.u.
# Total magnetization ... 1.00 μB per formula unit
# Calculated density ... 5.1 g/cm3